(1)
Crystalline PtSeBr2 at its relaxed geometry. Source: Alexandria, functional PBE.

Formation energy (no corrections)   -224 meV per atom
Total magnetization   0.0 μB per formula unit

```
data_PtSeBr2
_space_group_name_H-M_alt 'P 1'
_space_group_IT_number 1
_cell_length_a 8.419
_cell_length_b 8.419
_cell_length_c 8.419
_cell_angle_alpha 155.02
_cell_angle_beta 144.46
_cell_angle_gamma 43.93
loop_
_space_group_symop_operation_xyz
'x,y,z'
loop_
_atom_site_label
_atom_site_type_symbol
_atom_site_fract_x
_atom_site_fract_y
_atom_site_fract_z
_atom_site_occupancy
Pt1 Pt 0.000 0.000 0.000 1
Se1 Se 0.100 0.600 0.500 1
Br1 Br 0.650 0.650 0.000 1
Br2 Br 0.889 0.389 0.500 1
```

(2)
Crystalline PtSe2Br8 at its relaxed geometry. Source: Alexandria, functional PBE.

Energy above the most stable polymorph in this dataset   26 meV per atom
DOS at the Fermi energy   11.30 states/eV/f.u.
Formation energy (no corrections)   -53 meV per atom
Total magnetization   0.6 μB per formula unit

```
data_PtSe2Br8
_space_group_name_H-M_alt 'P 1'
_space_group_IT_number 1
_cell_length_a 8.257
_cell_length_b 8.257
_cell_length_c 9.702
_cell_angle_alpha 120.56
_cell_angle_beta 120.56
_cell_angle_gamma 49.93
loop_
_space_group_symop_operation_xyz
'x,y,z'
loop_
_atom_site_label
_atom_site_type_symbol
_atom_site_fract_x
_atom_site_fract_y
_atom_site_fract_z
_atom_site_occupancy
Pt1 Pt 0.000 0.000 0.000 1
Se1 Se 0.207 0.207 0.087 1
Se2 Se 0.793 0.793 0.913 1
Br1 Br 0.188 0.694 0.782 1
Br2 Br 0.280 0.280 0.924 1
Br3 Br 0.306 0.812 0.218 1
Br4 Br 0.354 0.354 0.370 1
Br5 Br 0.646 0.646 0.630 1
Br6 Br 0.694 0.188 0.782 1
Br7 Br 0.720 0.720 0.076 1
Br8 Br 0.812 0.306 0.218 1
```

(3)
Crystalline PtSeBr2 at its relaxed geometry. Source: Alexandria, functional PBE.

DOS at the Fermi energy   1.74 states/eV/f.u.
Formation energy (no corrections)   -126 meV per atom
Total magnetization   0.0 μB per formula unit

```
data_PtSeBr2
_space_group_name_H-M_alt 'P 1'
_space_group_IT_number 1
_cell_length_a 3.686
_cell_length_b 5.830
_cell_length_c 5.830
_cell_angle_alpha 56.19
_cell_angle_beta 90.00
_cell_angle_gamma 90.00
loop_
_space_group_symop_operation_xyz
'x,y,z'
loop_
_atom_site_label
_atom_site_type_symbol
_atom_site_fract_x
_atom_site_fract_y
_atom_site_fract_z
_atom_site_occupancy
Pt1 Pt 0.000 0.000 0.000 1
Se1 Se 0.500 0.153 0.153 1
Br1 Br 0.000 0.496 0.496 1
Br2 Br 0.500 0.824 0.824 1
```

(4)
Crystalline PtSe2Br at its relaxed geometry. Source: Alexandria, functional PBE.

Energy above the most stable polymorph in this dataset   604 meV per atom
DOS at the Fermi energy   4.16 states/eV/f.u.
Formation energy (no corrections)   321 meV per atom
Total magnetization   0.6 μB per formula unit

```
data_PtSe2Br
_space_group_name_H-M_alt 'P 1'
_space_group_IT_number 1
_cell_length_a 4.258
_cell_length_b 4.258
_cell_length_c 8.877
_cell_angle_alpha 90.00
_cell_angle_beta 90.00
_cell_angle_gamma 133.04
loop_
_space_group_symop_operation_xyz
'x,y,z'
loop_
_atom_site_label
_atom_site_type_symbol
_atom_site_fract_x
_atom_site_fract_y
_atom_site_fract_z
_atom_site_occupancy
Pt1 Pt 0.000 0.000 0.000 1
Se1 Se 0.000 0.000 0.426 1
Se2 Se 0.500 0.500 0.191 1
Br1 Br 0.500 0.500 0.789 1
```

(5)
Crystalline PtSeBr3 at its relaxed geometry. Source: Alexandria, functional PBE.

Energy above the most stable polymorph in this dataset   548 meV per atom
DOS at the Fermi energy   3.44 states/eV/f.u.
Formation energy (no corrections)   377 meV per atom
Total magnetization   2.7 μB per formula unit

```
data_PtSeBr3
_space_group_name_H-M_alt 'P 1'
_space_group_IT_number 1
_cell_length_a 5.150
_cell_length_b 5.150
_cell_length_c 5.150
_cell_angle_alpha 90.00
_cell_angle_beta 90.00
_cell_angle_gamma 90.00
loop_
_space_group_symop_operation_xyz
'x,y,z'
loop_
_atom_site_label
_atom_site_type_symbol
_atom_site_fract_x
_atom_site_fract_y
_atom_site_fract_z
_atom_site_occupancy
Pt1 Pt 0.000 0.000 0.000 1
Se1 Se 0.500 0.500 0.500 1
Br1 Br 0.000 0.000 0.500 1
Br2 Br 0.000 0.500 0.000 1
Br3 Br 0.500 0.000 0.000 1
```

(6)
Crystalline PtSe2Br at its relaxed geometry. Source: Alexandria, functional PBE.

Energy above the most stable polymorph in this dataset   575 meV per atom
DOS at the Fermi energy   4.60 states/eV/f.u.
Formation energy (no corrections)   292 meV per atom
Total magnetization   0.0 μB per formula unit

```
data_PtSe2Br
_space_group_name_H-M_alt 'P 1'
_space_group_IT_number 1
_cell_length_a 3.020
_cell_length_b 3.020
_cell_length_c 10.897
_cell_angle_alpha 90.00
_cell_angle_beta 90.00
_cell_angle_gamma 90.00
loop_
_space_group_symop_operation_xyz
'x,y,z'
loop_
_atom_site_label
_atom_site_type_symbol
_atom_site_fract_x
_atom_site_fract_y
_atom_site_fract_z
_atom_site_occupancy
Pt1 Pt 0.000 0.000 0.000 1
Se1 Se 0.500 0.500 0.160 1
Se2 Se 0.500 0.500 0.840 1
Br1 Br 0.000 0.000 0.500 1
```

(7)
Crystalline PtSe2Br at its relaxed geometry. Source: Alexandria, functional PBE.

Energy above the most stable polymorph in this dataset   924 meV per atom
DOS at the Fermi energy   3.46 states/eV/f.u.
Formation energy (no corrections)   641 meV per atom
Total magnetization   0.0 μB per formula unit

```
data_PtSe2Br
_space_group_name_H-M_alt 'P 1'
_space_group_IT_number 1
_cell_length_a 5.073
_cell_length_b 5.073
_cell_length_c 3.027
_cell_angle_alpha 90.00
_cell_angle_beta 90.00
_cell_angle_gamma 90.00
loop_
_space_group_symop_operation_xyz
'x,y,z'
loop_
_atom_site_label
_atom_site_type_symbol
_atom_site_fract_x
_atom_site_fract_y
_atom_site_fract_z
_atom_site_occupancy
Pt1 Pt 0.000 0.000 0.000 1
Se1 Se 0.000 0.500 0.500 1
Se2 Se 0.500 0.000 0.500 1
Br1 Br 0.500 0.500 0.000 1
```

(8)
Crystalline PtSe2Br at its relaxed geometry. Source: Alexandria, functional PBE.

Energy above the most stable polymorph in this dataset   535 meV per atom
DOS at the Fermi energy   1.36 states/eV/f.u.
Formation energy (no corrections)   252 meV per atom
Total magnetization   0.0 μB per formula unit

```
data_PtSe2Br
_space_group_name_H-M_alt 'P 1'
_space_group_IT_number 1
_cell_length_a 2.909
_cell_length_b 4.010
_cell_length_c 8.151
_cell_angle_alpha 90.00
_cell_angle_beta 90.00
_cell_angle_gamma 90.00
loop_
_space_group_symop_operation_xyz
'x,y,z'
loop_
_atom_site_label
_atom_site_type_symbol
_atom_site_fract_x
_atom_site_fract_y
_atom_site_fract_z
_atom_site_occupancy
Pt1 Pt 0.000 0.000 0.000 1
Se1 Se 0.500 0.500 0.153 1
Se2 Se 0.500 0.500 0.847 1
Br1 Br 0.000 0.000 0.500 1
```

(9)
Crystalline PtSeBr2 at its relaxed geometry. Source: Alexandria, functional PBE.

DOS at the Fermi energy   2.78 states/eV/f.u.
Formation energy (no corrections)   -18 meV per atom
Total magnetization   0.0 μB per formula unit

```
data_PtSeBr2
_space_group_name_H-M_alt 'P 1'
_space_group_IT_number 1
_cell_length_a 6.300
_cell_length_b 6.300
_cell_length_c 6.300
_cell_angle_alpha 143.22
_cell_angle_beta 83.98
_cell_angle_gamma 107.70
loop_
_space_group_symop_operation_xyz
'x,y,z'
loop_
_atom_site_label
_atom_site_type_symbol
_atom_site_fract_x
_atom_site_fract_y
_atom_site_fract_z
_atom_site_occupancy
Pt1 Pt 0.000 0.000 0.000 1
Se1 Se 0.175 0.675 0.500 1
Br1 Br 0.152 0.899 0.253 1
Br2 Br 0.646 0.899 0.747 1
```

(10)
Crystalline PtSe2Br at its relaxed geometry. Source: Alexandria, functional PBE.

Energy above the most stable polymorph in this dataset   697 meV per atom
DOS at the Fermi energy   2.90 states/eV/f.u.
Formation energy (no corrections)   413 meV per atom
Total magnetization   0.0 μB per formula unit

```
data_PtSe2Br
_space_group_name_H-M_alt 'P 1'
_space_group_IT_number 1
_cell_length_a 3.089
_cell_length_b 3.089
_cell_length_c 10.936
_cell_angle_alpha 90.00
_cell_angle_beta 90.00
_cell_angle_gamma 90.00
loop_
_space_group_symop_operation_xyz
'x,y,z'
loop_
_atom_site_label
_atom_site_type_symbol
_atom_site_fract_x
_atom_site_fract_y
_atom_site_fract_z
_atom_site_occupancy
Pt1 Pt 0.000 0.000 0.000 1
Se1 Se 0.000 0.000 0.382 1
Se2 Se 0.500 0.500 0.111 1
Br1 Br 0.500 0.500 0.749 1
```

(11)
Crystalline PtSeBr2 at its relaxed geometry. Source: Alexandria, functional PBE.

Formation energy (no corrections)   -208 meV per atom
Total magnetization   0.0 μB per formula unit

```
data_PtSeBr2
_space_group_name_H-M_alt 'P 1'
_space_group_IT_number 1
_cell_length_a 8.555
_cell_length_b 8.555
_cell_length_c 8.555
_cell_angle_alpha 25.35
_cell_angle_beta 25.35
_cell_angle_gamma 25.35
loop_
_space_group_symop_operation_xyz
'x,y,z'
loop_
_atom_site_label
_atom_site_type_symbol
_atom_site_fract_x
_atom_site_fract_y
_atom_site_fract_z
_atom_site_occupancy
Pt1 Pt 0.000 0.000 0.000 1
Se1 Se 0.279 0.279 0.279 1
Br1 Br 0.533 0.533 0.533 1
Br2 Br 0.729 0.729 0.729 1
```

(12)
Crystalline PtSeBr2 at its relaxed geometry. Source: Alexandria, functional PBE.

DOS at the Fermi energy   2.20 states/eV/f.u.
Formation energy (no corrections)   416 meV per atom
Total magnetization   0.0 μB per formula unit

```
data_PtSeBr2
_space_group_name_H-M_alt 'P 1'
_space_group_IT_number 1
_cell_length_a 7.616
_cell_length_b 7.616
_cell_length_c 7.616
_cell_angle_alpha 28.94
_cell_angle_beta 28.94
_cell_angle_gamma 28.94
loop_
_space_group_symop_operation_xyz
'x,y,z'
loop_
_atom_site_label
_atom_site_type_symbol
_atom_site_fract_x
_atom_site_fract_y
_atom_site_fract_z
_atom_site_occupancy
Pt1 Pt 0.000 0.000 0.000 1
Se1 Se 0.500 0.500 0.500 1
Br1 Br 0.266 0.266 0.266 1
Br2 Br 0.734 0.734 0.734 1
```